# ErP2Pb, optimized geometry, DFT GGA-PBE
# ΔH_f (0 K) = -578 meV per atom
# density of states at the Fermi level = 0.776 states/eV per atom
data_ErP2Pb
_space_group_name_H-M_alt 'R -3 m'
_space_group_IT_number 166
_space_group_name_Hall '-R 3 2"'
_cell_length_a 4.0343
_cell_length_b 4.0343
_cell_length_c 20.5421
_cell_angle_alpha 90.00
_cell_angle_beta 90.00
_cell_angle_gamma 120.00
loop_
_atom_site_label
_atom_site_type_symbol
_atom_site_fract_x
_atom_site_fract_y
_atom_site_fract_z
Er1 Er 0.0000 0.0000 0.0000
P1 P 0.0000 0.0000 0.2577
Pb1 Pb 0.0000 0.0000 0.5000